## Al3FeNi (GGA-PBE)

Data for crystalline Al3FeNi at its relaxed geometry.

Cell lengths 4.401, 4.401, 4.401 Å; angles 90.00, 90.00, 90.00 degrees
Space group Pm-3m (No. 221)
Unique sites:
Al1 0.000 0.000 0.500 [3 per cell]
Fe1 0.500 0.500 0.500 [1 per cell]
Ni1 0.000 0.000 0.000 [1 per cell]

Summary:
The offset from the most stable computed form is 582 meV/atom. For the calculated formation energy, the calculation gives 0.296 eV/atom.

## Ca2FeW (GGA-PBE)

Data for crystalline Ca2FeW at its relaxed geometry.

Cell lengths 5.861, 9.857, 2.850 Å; angles 90.00, 90.00, 90.00 degrees
Space group Cmmm (No. 65)
Unique sites:
Ca1 0.250 0.250 0.000 [4 per cell]
Fe1 0.000 0.000 0.500 [2 per cell]
W1 0.000 0.500 0.500 [2 per cell]

Summary:
The offset from the most stable computed form is 547 meV/atom. For the calculated formation energy, the calculation gives 0.970 eV/atom.

## Rb3Hg4Pt (GGA-PBE)

Data for crystalline Rb3Hg4Pt at its relaxed geometry.

Cell lengths 8.509, 8.509, 8.509 Å; angles 90.00, 90.00, 90.00 degrees
Space group I-43m (No. 217)
Unique sites:
Rb1 0.000 0.000 0.500 [6 per cell]
Hg1 0.188 0.188 0.188 [8 per cell]
Pt1 0.000 0.000 0.000 [2 per cell]

Summary:
The offset from the most stable computed form is 116 meV/atom. For the calculated formation energy, the calculation gives -0.069 eV/atom.

## KBeAu2 (GGA-PBE)

Data for crystalline KBeAu2 at its relaxed geometry.

Cell lengths 6.906, 6.906, 6.906 Å; angles 90.00, 90.00, 90.00 degrees
Space group F-43m (No. 216)
Unique sites:
K1 0.000 0.000 0.000 [4 per cell]
Be1 0.250 0.250 0.750 [4 per cell]
Au1 0.000 0.000 0.500 [4 per cell]
Au2 0.250 0.250 0.250 [4 per cell]

Summary:
For the calculated formation energy, the calculation gives 0.478 eV/atom.

## Cd2AsRu (GGA-PBE)

Data for crystalline Cd2AsRu at its relaxed geometry.

Cell lengths 4.148, 4.148, 8.439 Å; angles 90.00, 90.00, 90.00 degrees
Space group I-4m2 (No. 119)
Unique sites:
Cd1 0.000 0.000 0.000 [2 per cell]
Cd2 0.000 0.500 0.250 [2 per cell]
As1 0.000 0.000 0.500 [2 per cell]
Ru1 0.000 0.500 0.750 [2 per cell]

Summary:
For the calculated formation energy, the calculation gives 0.281 eV/atom.

## Cd2FeHg (GGA-PBE)

Data for crystalline Cd2FeHg at its relaxed geometry.

Cell lengths 4.248, 4.248, 8.510 Å; angles 90.00, 90.00, 90.00 degrees
Space group I-4m2 (No. 119)
Unique sites:
Cd1 0.000 0.000 0.000 [2 per cell]
Cd2 0.000 0.500 0.250 [2 per cell]
Fe1 0.000 0.500 0.750 [2 per cell]
Hg1 0.000 0.000 0.500 [2 per cell]

Summary:
For the calculated formation energy, the calculation gives 0.358 eV/atom.

| no. | total DFT energy (no corrections) (eV per atom) |
| --- | --- |
| 1 | -4.80 |
| 2 | -5.39 |
| 3 | -1.34 |
| 4 | -2.37 |
| 5 | -3.66 |
| 6 | -2.29 |